BiSb2As: relaxed, PBE-GGA.

Summary:
Space-group type ... No. 122
Energy relative to the elements, uncorrected ... 94 kJ/mol of formula units
Theoretical density ... 5.8 Mg/m³
VASP energy ... -31.6 eV per cell
Offset from the most stable computed form ... 195 meV per atom
V ... 301 Å³ per cell
Total moment ... 0.0 μB/f.u.

Cell: 8.9439 8.9439 8.9439 Å, 139.33 139.33 58.87°
Last column: nearest neighbours and their distance in Å.
Fractional positions:
Bi 0.0000 0.0000 0.0000  4 Sb 3.09
Bi 0.7500 0.2500 0.5000  4 Sb 3.09
Sb 0.1703 0.6250 0.0453  2 As 2.80, 2 Bi 3.09
Sb 0.3750 0.4203 0.5453  2 As 2.80, 2 Bi 3.09
Sb 0.5797 0.1250 0.9547  2 As 2.80, 2 Bi 3.09
Sb 0.8750 0.8297 0.4547  2 As 2.80, 2 Bi 3.09
As 0.2500 0.7500 0.5000  4 Sb 2.80
As 0.5000 0.5000 0.0000  4 Sb 2.80

***

Ac7Pr2Dy2: relaxed, PBE-GGA.

Summary:
Space-group type ... No. 12
Energy of formation ... 322 meV/atom
Theoretical density ... 7.7 Mg/m³
VASP energy ... -44.0 eV per cell
V ... 475 Å³ per cell
Total moment ... 0.0 μB/f.u.

Cell: 7.4064 7.4064 10.1213 Å, 90.04 90.04 58.75°
Last column: nearest neighbours and their distance in Å.
Fractional positions:
Ac 0.0000 0.0000 0.0000  2 Dy 3.47
Ac 0.9999 0.4996 0.3106  5 Ac 3.63-3.92, 2 Dy 3.64, 2 Pr 3.75
Ac 0.0001 0.5004 0.6894  5 Ac 3.63-3.92, 2 Dy 3.64, 2 Pr 3.75
Ac 0.4996 0.9999 0.3106  5 Ac 3.63-3.92, 2 Dy 3.64, 2 Pr 3.75
Ac 0.5004 0.0001 0.6894  5 Ac 3.63-3.92, 2 Dy 3.64, 2 Pr 3.75
Ac 0.4998 0.4998 0.1829  2 Dy 3.51, 2 Pr 3.70, 5 Ac 3.70-3.92
Ac 0.5002 0.5002 0.8171  2 Dy 3.51, 2 Pr 3.70, 5 Ac 3.70-3.92
Pr 0.2478 0.7522 0.5000  2 Pr 3.60-3.66, 6 Ac 3.70-3.75
Pr 0.7522 0.2478 0.5000  2 Pr 3.60-3.66, 6 Ac 3.70-3.75
Dy 0.2690 0.2690 0.9997  7 Ac 3.47-3.64, 2 Dy 3.67
Dy 0.7310 0.7310 0.0003  7 Ac 3.47-3.64, 2 Dy 3.67

***

Al2Cr2Si: relaxed, PBE-GGA.

Summary:
Space-group type ... No. 127
Energy relative to the elements, uncorrected ... -50 kJ/mol of formula units
Theoretical density ... 4.4 Mg/m³
VASP energy ... -65.3 eV per cell
V ... 140 Å³ per cell
Total moment ... 0.0 μB/f.u.

Cell: 5.9391 5.9391 3.9717 Å, 90.00 90.00 90.00°
Last column: nearest neighbours and their distance in Å.
Fractional positions:
Al 0.1626 0.3374 0.0000  6 Cr 2.63-2.66, 1 Al 2.73
Al 0.3374 0.8374 0.0000  6 Cr 2.63-2.66, 1 Al 2.73
Al 0.6626 0.1626 0.0000  6 Cr 2.63-2.66, 1 Al 2.73
Al 0.8374 0.6626 0.0000  6 Cr 2.63-2.66, 1 Al 2.73
Cr 0.1327 0.6327 0.5000  1 Cr 2.23, 2 Si 2.32
Cr 0.3673 0.1327 0.5000  1 Cr 2.23, 2 Si 2.32
Cr 0.6327 0.8673 0.5000  1 Cr 2.23, 2 Si 2.32
Cr 0.8673 0.3673 0.5000  1 Cr 2.23, 2 Si 2.32
Si 0.0000 0.0000 0.5000  4 Cr 2.32
Si 0.5000 0.5000 0.5000  4 Cr 2.32

***

Ni2Sb2P: relaxed, PBE-GGA.

Summary:
Space-group type ... No. 139
Energy relative to the elements, uncorrected ... 104 kJ/mol of formula units
Theoretical density ... 7.3 Mg/m³
VASP energy ... -24.1 eV per cell
Offset from the most stable computed form ... 418 meV per atom
V ... 90 Å³ per cell
Total moment ... 0.0 μB/f.u.

Cell: 7.7197 7.7197 7.7197 Å, 153.78 153.78 37.41°
Last column: nearest neighbours and their distance in Å.
Fractional positions:
Ni 0.2500 0.7500 0.5000  4 Ni 2.48, 4 Sb 2.61
Ni 0.7500 0.2500 0.5000  4 Ni 2.48, 4 Sb 2.61
Sb 0.1177 0.1177 0.0000  4 Ni 2.61
Sb 0.8823 0.8823 0.0000  4 Ni 2.61
P 0.5000 0.5000 0.0000  8 Sb 3.02